Entry 1:
# Al2V2Mo, relaxed, DFT PBE
data_Al2V2Mo
_symmetry_space_group_name_H-M 'I 4/m m m'
_symmetry_Int_Tables_number 139
_symmetry_space_group_name_Hall '-I 4 2'
_cell_length_a 3.4939
_cell_length_b 3.4939
_cell_length_c 12.4036
_cell_angle_alpha 90.00
_cell_angle_beta 90.00
_cell_angle_gamma 90.00
loop_
_atom_site_label
_atom_site_fract_x
_atom_site_fract_y
_atom_site_fract_z
Al1 0.0000 0.0000 0.0960
V1 0.0000 0.5000 0.2500
Mo1 0.0000 0.0000 0.5000
# * formation enthalpy at 0 K: 11.2 kJ/mol of atoms
# * DOS at the Fermi energy: 4.33 states/eV/f.u.
# * ΔE to the lowest computed polymorph: 165 meV/atom
# * uncorrected energy: -7.195 eV/atom


Entry 2:
# Al3V2Mo2, relaxed, DFT PBE
data_Al3V2Mo2
_symmetry_space_group_name_H-M 'R -3 m'
_symmetry_Int_Tables_number 166
_symmetry_space_group_name_Hall '-R 3 2"'
_cell_length_a 4.3709
_cell_length_b 4.3709
_cell_length_c 18.6073
_cell_angle_alpha 90.00
_cell_angle_beta 90.00
_cell_angle_gamma 120.00
loop_
_atom_site_label
_atom_site_fract_x
_atom_site_fract_y
_atom_site_fract_z
Al1 0.0000 0.0000 0.0000
Al2 0.0000 0.0000 0.1447
V1 0.0000 0.0000 0.2867
Mo1 0.0000 0.0000 0.4241
# * formation enthalpy at 0 K: -19.2 kJ/mol of atoms
# * DOS at the Fermi energy: 6.81 states/eV/f.u.
# * uncorrected energy: -7.503 eV/atom


Entry 3:
# Al4VMo, relaxed, DFT PBE
data_Al4VMo
_symmetry_space_group_name_H-M 'P 4/m m m'
_symmetry_Int_Tables_number 123
_symmetry_space_group_name_Hall '-P 4 2'
_cell_length_a 3.1719
_cell_length_b 3.1719
_cell_length_c 9.0861
_cell_angle_alpha 90.00
_cell_angle_beta 90.00
_cell_angle_gamma 90.00
loop_
_atom_site_label
_atom_site_fract_x
_atom_site_fract_y
_atom_site_fract_z
Al1 0.0000 0.0000 0.1586
Al2 0.5000 0.5000 0.3393
V1 0.0000 0.0000 0.5000
Mo1 0.5000 0.5000 0.0000
# * formation enthalpy at 0 K: -7.6 kJ/mol of atoms
# * DOS at the Fermi energy: 5.37 states/eV/f.u.
# * uncorrected energy: -5.898 eV/atom


Entry 4:
# AlV4Mo, relaxed, DFT PBE
data_AlV4Mo
_symmetry_space_group_name_H-M 'F -4 3 m'
_symmetry_Int_Tables_number 216
_symmetry_space_group_name_Hall 'F -4 2 3'
_cell_length_a 6.9914
_cell_length_b 6.9914
_cell_length_c 6.9914
_cell_angle_alpha 90.00
_cell_angle_beta 90.00
_cell_angle_gamma 90.00
loop_
_atom_site_label
_atom_site_fract_x
_atom_site_fract_y
_atom_site_fract_z
Al1 0.0000 0.0000 0.0000
V1 0.1241 0.1241 0.6241
Mo1 0.2500 0.2500 0.2500
# * formation enthalpy at 0 K: -1.1 kJ/mol of atoms
# * DOS at the Fermi energy: 9.89 states/eV/f.u.
# * ΔE to the lowest computed polymorph: 0 meV/atom
# * uncorrected energy: -8.519 eV/atom


Entry 5:
# Al2VMo, relaxed, DFT PBE
data_Al2VMo
_symmetry_space_group_name_H-M 'P 4/m m m'
_symmetry_Int_Tables_number 123
_symmetry_space_group_name_Hall '-P 4 2'
_cell_length_a 3.8014
_cell_length_b 3.8014
_cell_length_c 4.0963
_cell_angle_alpha 90.00
_cell_angle_beta 90.00
_cell_angle_gamma 90.00
loop_
_atom_site_label
_atom_site_fract_x
_atom_site_fract_y
_atom_site_fract_z
Al1 0.0000 0.5000 0.0000
V1 0.0000 0.0000 0.5000
Mo1 0.5000 0.5000 0.5000
# * formation enthalpy at 0 K: -17.6 kJ/mol of atoms
# * DOS at the Fermi energy: 3.27 states/eV/f.u.
# * ΔE to the lowest computed polymorph: 0 meV/atom
# * uncorrected energy: -7.041 eV/atom


Entry 6:
# Al3VMo, relaxed, DFT PBE
data_Al3VMo
_symmetry_space_group_name_H-M 'P m -3 m'
_symmetry_Int_Tables_number 221
_symmetry_space_group_name_Hall '-P 4 2 3'
_cell_length_a 4.7524
_cell_length_b 4.7524
_cell_length_c 4.7524
_cell_angle_alpha 90.00
_cell_angle_beta 90.00
_cell_angle_gamma 90.00
loop_
_atom_site_label
_atom_site_fract_x
_atom_site_fract_y
_atom_site_fract_z
Al1 0.0000 0.0000 0.5000
V1 0.5000 0.5000 0.5000
Mo1 0.0000 0.0000 0.0000
# * formation enthalpy at 0 K: 78.3 kJ/mol of atoms
# * DOS at the Fermi energy: 4.31 states/eV/f.u.
# * ΔE to the lowest computed polymorph: 0 meV/atom
# * uncorrected energy: -5.424 eV/atom


Entry 7:
# AlVMo2, relaxed, DFT PBE
data_AlVMo2
_symmetry_space_group_name_H-M 'I m m m'
_symmetry_Int_Tables_number 71
_symmetry_space_group_name_Hall '-I 2 2'
_cell_length_a 3.1648
_cell_length_b 4.3959
_cell_length_c 8.6569
_cell_angle_alpha 90.00
_cell_angle_beta 90.00
_cell_angle_gamma 90.00
loop_
_atom_site_label
_atom_site_fract_x
_atom_site_fract_y
_atom_site_fract_z
Al1 0.0000 0.0000 0.0000
V1 0.0000 0.0000 0.5000
Mo1 0.0000 0.5000 0.2378
# * formation enthalpy at 0 K: -15.1 kJ/mol of atoms
# * DOS at the Fermi energy: 3.15 states/eV/f.u.
# * uncorrected energy: -8.787 eV/atom


Entry 8:
# AlV3Mo2, relaxed, DFT PBE
data_AlV3Mo2
_symmetry_space_group_name_H-M 'P 4/m m m'
_symmetry_Int_Tables_number 123
_symmetry_space_group_name_Hall '-P 4 2'
_cell_length_a 3.1307
_cell_length_b 3.1307
_cell_length_c 8.9169
_cell_angle_alpha 90.00
_cell_angle_beta 90.00
_cell_angle_gamma 90.00
loop_
_atom_site_label
_atom_site_fract_x
_atom_site_fract_y
_atom_site_fract_z
Al1 0.0000 0.0000 0.0000
V1 0.5000 0.5000 0.1715
V2 0.5000 0.5000 0.5000
Mo1 0.0000 0.0000 0.3263
# * formation enthalpy at 0 K: -15.8 kJ/mol of atoms
# * DOS at the Fermi energy: 4.40 states/eV/f.u.
# * ΔE to the lowest computed polymorph: 0 meV/atom
# * uncorrected energy: -8.957 eV/atom


Entry 9:
# AlVMo, relaxed, DFT PBE
data_AlVMo
_symmetry_space_group_name_H-M 'P 4/n m m'
_symmetry_Int_Tables_number 129
_cell_length_a 3.5257
_cell_length_b 3.5257
_cell_length_c 7.1544
_cell_angle_alpha 90.00
_cell_angle_beta 90.00
_cell_angle_gamma 90.00
loop_
_symmetry_equiv_pos_as_xyz
'x,y,z'
'-x,-y,-z'
'-y+1/2,x,z'
'y+1/2,-x,-z'
'-x+1/2,-y+1/2,z'
'x+1/2,y+1/2,-z'
'y,-x+1/2,z'
'-y,x+1/2,-z'
'x+1/2,-y,-z'
'-x+1/2,y,z'
'-y,-x,-z'
'y,x,z'
'-x,y+1/2,-z'
'x,-y+1/2,z'
'y+1/2,x+1/2,-z'
'-y+1/2,-x+1/2,z'
loop_
_atom_site_label
_atom_site_fract_x
_atom_site_fract_y
_atom_site_fract_z
Al1 0.2500 0.2500 0.2315
V1 0.2500 0.7500 0.5000
Mo1 0.2500 0.2500 0.8637
# * formation enthalpy at 0 K: -2.6 kJ/mol of atoms
# * DOS at the Fermi energy: 1.55 states/eV/f.u.
# * ΔE to the lowest computed polymorph: 198 meV/atom
# * uncorrected energy: -7.925 eV/atom


Entry 10:
# AlVMo2, relaxed, DFT PBE
data_AlVMo2
_symmetry_space_group_name_H-M 'P 4/m m m'
_symmetry_Int_Tables_number 123
_symmetry_space_group_name_Hall '-P 4 2'
_cell_length_a 3.2513
_cell_length_b 3.2513
_cell_length_c 5.6786
_cell_angle_alpha 90.00
_cell_angle_beta 90.00
_cell_angle_gamma 90.00
loop_
_atom_site_label
_atom_site_fract_x
_atom_site_fract_y
_atom_site_fract_z
Al1 0.0000 0.0000 0.0000
V1 0.0000 0.0000 0.5000
Mo1 0.5000 0.5000 0.2560
# * formation enthalpy at 0 K: -6.1 kJ/mol of atoms
# * DOS at the Fermi energy: 4.06 states/eV/f.u.
# * uncorrected energy: -8.694 eV/atom


Entry 11:
# AlV14Mo, relaxed, DFT PBE
data_AlV14Mo
_symmetry_space_group_name_H-M 'P 4/m m m'
_symmetry_Int_Tables_number 123
_symmetry_space_group_name_Hall '-P 4 2'
_cell_length_a 6.0289
_cell_length_b 6.0289
_cell_length_c 6.0461
_cell_angle_alpha 90.00
_cell_angle_beta 90.00
_cell_angle_gamma 90.00
loop_
_atom_site_label
_atom_site_fract_x
_atom_site_fract_y
_atom_site_fract_z
Al1 0.0000 0.0000 0.0000
V1 0.0000 0.0000 0.5000
V2 0.0000 0.5000 0.0000
V3 0.0000 0.5000 0.5000
V4 0.2536 0.2536 0.2554
V5 0.5000 0.5000 0.5000
Mo1 0.5000 0.5000 0.0000
# * formation enthalpy at 0 K: -4.7 kJ/mol of atoms
# * DOS at the Fermi energy: 23.72 states/eV/f.u.
# * uncorrected energy: -8.939 eV/atom


Entry 12:
# Al2V6Mo, relaxed, DFT PBE
data_Al2V6Mo
_symmetry_space_group_name_H-M 'C 1 2/m 1'
_symmetry_Int_Tables_number 12
_cell_length_a 8.8971
_cell_length_b 5.0757
_cell_length_c 6.5468
_cell_angle_alpha 90.00
_cell_angle_beta 116.58
_cell_angle_gamma 90.00
loop_
_symmetry_equiv_pos_as_xyz
'x,y,z'
'-x,-y,-z'
'-x,y,-z'
'x,-y,z'
'x+1/2,y+1/2,z'
'-x+1/2,-y+1/2,-z'
'-x+1/2,y+1/2,-z'
'x+1/2,-y+1/2,z'
loop_
_atom_site_label
_atom_site_fract_x
_atom_site_fract_y
_atom_site_fract_z
Al1 0.1485 0.0000 0.1466
V1 0.0686 0.2424 0.7119
V2 0.2285 0.5000 0.4111
Mo1 0.0000 0.5000 0.0000
# * formation enthalpy at 0 K: 11.8 kJ/mol of atoms
# * DOS at the Fermi energy: 9.96 states/eV/f.u.
# * uncorrected energy: -7.991 eV/atom


Entry 13:
# AlV3Mo, relaxed, DFT PBE
data_AlV3Mo
_symmetry_space_group_name_H-M 'P m -3 m'
_symmetry_Int_Tables_number 221
_symmetry_space_group_name_Hall '-P 4 2 3'
_cell_length_a 4.3841
_cell_length_b 4.3841
_cell_length_c 4.3841
_cell_angle_alpha 90.00
_cell_angle_beta 90.00
_cell_angle_gamma 90.00
loop_
_atom_site_label
_atom_site_fract_x
_atom_site_fract_y
_atom_site_fract_z
Al1 0.0000 0.0000 0.0000
V1 0.0000 0.0000 0.5000
Mo1 0.5000 0.5000 0.5000
# * formation enthalpy at 0 K: 134.6 kJ/mol of atoms
# * DOS at the Fermi energy: 8.63 states/eV/f.u.
# * ΔE to the lowest computed polymorph: 1522 meV/atom
# * uncorrected energy: -6.991 eV/atom


Entry 14:
# AlV4Mo2, relaxed, DFT PBE
data_AlV4Mo2
_symmetry_space_group_name_H-M 'C m m m'
_symmetry_Int_Tables_number 65
_symmetry_space_group_name_Hall '-C 2 2'
_cell_length_a 3.0836
_cell_length_b 21.9176
_cell_length_c 3.0516
_cell_angle_alpha 90.00
_cell_angle_beta 90.00
_cell_angle_gamma 90.00
loop_
_atom_site_label
_atom_site_fract_x
_atom_site_fract_y
_atom_site_fract_z
Al1 0.0000 0.0000 0.0000
V1 0.0000 0.1335 0.0000
V2 0.0000 0.4296 0.5000
Mo1 0.0000 0.2973 0.5000
# * formation enthalpy at 0 K: 11.7 kJ/mol of atoms
# * DOS at the Fermi energy: 6.91 states/eV/f.u.
# * ΔE to the lowest computed polymorph: 0 meV/atom
# * uncorrected energy: -8.718 eV/atom


Entry 15:
# AlV4Mo, relaxed, DFT PBE
data_AlV4Mo
_symmetry_space_group_name_H-M 'R -3 m'
_symmetry_Int_Tables_number 166
_symmetry_space_group_name_Hall '-R 3 2"'
_cell_length_a 4.1425
_cell_length_b 4.1425
_cell_length_c 20.5000
_cell_angle_alpha 90.00
_cell_angle_beta 90.00
_cell_angle_gamma 120.00
loop_
_atom_site_label
_atom_site_fract_x
_atom_site_fract_y
_atom_site_fract_z
Al1 0.0000 0.0000 0.0000
V1 0.0000 0.0000 0.1254
V2 0.0000 0.0000 0.3795
Mo1 0.0000 0.0000 0.5000
# * formation enthalpy at 0 K: 66.3 kJ/mol of atoms
# * DOS at the Fermi energy: 6.55 states/eV/f.u.
# * ΔE to the lowest computed polymorph: 698 meV/atom
# * uncorrected energy: -7.821 eV/atom


Entry 16:
# Al2V5Mo2, relaxed, DFT PBE
data_Al2V5Mo2
_symmetry_space_group_name_H-M 'P -1'
_symmetry_Int_Tables_number 2
_cell_length_a 2.6445
_cell_length_b 6.6954
_cell_length_c 7.5466
_cell_angle_alpha 78.41
_cell_angle_beta 88.26
_cell_angle_gamma 81.44
loop_
_symmetry_equiv_pos_as_xyz
'x,y,z'
'-x,-y,-z'
loop_
_atom_site_label
_atom_site_fract_x
_atom_site_fract_y
_atom_site_fract_z
Al1 0.1306 0.0029 0.3278
V1 0.2852 0.6661 0.8921
V2 0.3711 0.3346 0.4421
V3 0.5000 0.0000 0.0000
Mo1 0.0630 0.3363 0.7766
# * formation enthalpy at 0 K: -11.6 kJ/mol of atoms
# * DOS at the Fermi energy: 10.07 states/eV/f.u.
# * uncorrected energy: -8.425 eV/atom


Entry 17:
# AlVMo3, relaxed, DFT PBE
data_AlVMo3
_symmetry_space_group_name_H-M 'P m -3 m'
_symmetry_Int_Tables_number 221
_symmetry_space_group_name_Hall '-P 4 2 3'
_cell_length_a 4.5194
_cell_length_b 4.5194
_cell_length_c 4.5194
_cell_angle_alpha 90.00
_cell_angle_beta 90.00
_cell_angle_gamma 90.00
loop_
_atom_site_label
_atom_site_fract_x
_atom_site_fract_y
_atom_site_fract_z
Al1 0.0000 0.0000 0.0000
V1 0.5000 0.5000 0.5000
Mo1 0.0000 0.0000 0.5000
# * formation enthalpy at 0 K: 151.6 kJ/mol of atoms
# * DOS at the Fermi energy: 7.40 states/eV/f.u.
# * ΔE to the lowest computed polymorph: 1373 meV/atom
# * uncorrected energy: -7.499 eV/atom


Entry 18:
# AlV3Mo, relaxed, DFT PBE
data_AlV3Mo
_symmetry_space_group_name_H-M 'P m -3 m'
_symmetry_Int_Tables_number 221
_symmetry_space_group_name_Hall '-P 4 2 3'
_cell_length_a 4.5403
_cell_length_b 4.5403
_cell_length_c 4.5403
_cell_angle_alpha 90.00
_cell_angle_beta 90.00
_cell_angle_gamma 90.00
loop_
_atom_site_label
_atom_site_fract_x
_atom_site_fract_y
_atom_site_fract_z
Al1 0.0000 0.0000 0.0000
V1 0.0000 0.5000 0.5000
Mo1 0.5000 0.5000 0.5000
# * formation enthalpy at 0 K: 112.5 kJ/mol of atoms
# * DOS at the Fermi energy: 5.05 states/eV/f.u.
# * ΔE to the lowest computed polymorph: 1292 meV/atom
# * uncorrected energy: -7.220 eV/atom


Entry 19:
# AlV3Mo2, relaxed, DFT PBE
data_AlV3Mo2
_symmetry_space_group_name_H-M 'C m c m'
_symmetry_Int_Tables_number 63
_symmetry_space_group_name_Hall '-C 2c 2'
_cell_length_a 5.3401
_cell_length_b 13.5817
_cell_length_c 4.9910
_cell_angle_alpha 90.00
_cell_angle_beta 90.00
_cell_angle_gamma 90.00
loop_
_atom_site_label
_atom_site_fract_x
_atom_site_fract_y
_atom_site_fract_z
Al1 0.0000 0.1597 0.2500
V1 0.0000 0.3318 0.7500
V2 0.2402 0.1725 0.7500
Mo1 0.2493 0.5000 0.0000
# * formation enthalpy at 0 K: 15.4 kJ/mol of atoms
# * DOS at the Fermi energy: 5.89 states/eV/f.u.
# * ΔE to the lowest computed polymorph: 323 meV/atom
# * uncorrected energy: -8.634 eV/atom


Entry 20:
# Al3V7Mo2, relaxed, DFT PBE
data_Al3V7Mo2
_symmetry_space_group_name_H-M 'P 1 2/m 1'
_symmetry_Int_Tables_number 10
_cell_length_a 4.5994
_cell_length_b 2.6660
_cell_length_c 14.4938
_cell_angle_alpha 90.00
_cell_angle_beta 91.65
_cell_angle_gamma 90.00
loop_
_symmetry_equiv_pos_as_xyz
'x,y,z'
'-x,-y,-z'
'-x,y,-z'
'x,-y,z'
loop_
_atom_site_label
_atom_site_fract_x
_atom_site_fract_y
_atom_site_fract_z
Al1 0.0000 0.0000 0.0000
Al2 0.2124 0.5000 0.3657
V1 0.1729 0.5000 0.8575
V2 0.2453 0.0000 0.5377
V3 0.2892 0.0000 0.1751
V4 0.5000 0.5000 0.0000
Mo1 0.3068 0.0000 0.7061
# * formation enthalpy at 0 K: 10.8 kJ/mol of atoms
# * DOS at the Fermi energy: 10.66 states/eV/f.u.
# * uncorrected energy: -7.948 eV/atom